1.
Here is a geometry-optimized H2F3 structure from the Alexandria database. Energies are from PBE.

abc: 7.1967 7.1965 5.6545
angles: 137.69 137.69 72.59
Positions (direct):
H 0.3604 0.8112 0.1408
H 0.6876 0.2793 0.8454
H 0.0611 0.1104 0.6407
H 0.5293 0.4375 0.3454
F 0.3484 0.2311 0.0808
F 0.4811 0.0984 0.5808
F 0.9346 0.5068 0.1785
F 0.2515 0.5493 0.7546
F 0.7568 0.6846 0.6786
F 0.7992 0.0014 0.2544

Values from the calculation:
DFT total energy = -3.611 eV per atom
Crystal system = monoclinic


2.
Here is a geometry-optimized HF2 structure from the Alexandria database. Energies are from PBE.

abc: 3.4051 8.3333 3.1195
angles: 78.44 97.70 129.12
Positions (direct):
H 0.6122 0.9160 0.6243
H 0.6146 0.4153 0.6176
F 0.6215 0.8298 0.3812
F 0.6029 0.0020 0.8668
F 0.6262 0.3300 0.3752
F 0.6025 0.5008 0.8609

Values from the calculation:
DFT total energy = -3.215 eV per atom
Crystal system = triclinic


3.
Here is a geometry-optimized HF3 structure from the Alexandria database. Energies are from PBE.

abc: 3.6769 3.6769 3.6769
angles: 60.00 60.00 60.00
Positions (direct):
H 0.0000 0.0000 0.0000
F 0.2500 0.2500 0.2500
F 0.7500 0.7500 0.7500
F 0.5000 0.5000 0.5000

Values from the calculation:
Crystal system = cubic
Excess energy over the best structure of this formula in the dataset = 5.01 eV per formula unit


4.
Here is a geometry-optimized HF3 structure from the Alexandria database. Energies are from PBE.

abc: 4.4178 4.4178 4.6755
angles: 61.81 61.81 90.00
Positions (direct):
H 0.5000 0.5000 0.0000
H 0.2500 0.7500 0.5000
F 0.4909 0.1250 0.2500
F 0.2591 0.6250 0.2500
F 0.3750 0.5091 0.7500
F 0.8750 0.7409 0.7500
F 0.0000 0.0000 0.0000
F 0.7500 0.2500 0.5000

Values from the calculation:
Crystal system = tetragonal
Excess energy over the best structure of this formula in the dataset = 1.84 eV per formula unit


5.
Here is a geometry-optimized HF3 structure from the Alexandria database. Energies are from PBE.

abc: 1.8666 5.2980 4.9090
angles: 122.66 100.96 90.00
Positions (direct):
H 0.0000 0.9166 0.0000
F 0.3575 0.7741 0.7149
F 0.5000 0.4167 0.0000
F 0.6425 0.0592 0.2851

Values from the calculation:
Crystal system = orthorhombic
Excess energy over the best structure of this formula in the dataset = 1.80 eV per formula unit


6.
Here is a geometry-optimized Hf3HF structure from the Alexandria database. Energies are from PBE.

abc: 4.3395 4.3395 4.3395
angles: 90.00 90.00 90.00
Positions (direct):
H 0.0000 0.0000 0.0000
Hf 0.0000 0.5000 0.0000
Hf 0.0000 0.0000 0.5000
Hf 0.5000 0.0000 0.0000
F 0.5000 0.5000 0.5000

Values from the calculation:
Crystal system = cubic
Excess energy over the best structure of this formula in the dataset = 0.00 eV per formula unit


7.
Here is a geometry-optimized HfH2F8 structure from the Alexandria database. Energies are from PBE.

abc: 4.9379 5.4703 5.4703
angles: 75.93 82.63 82.63
Positions (direct):
Hf 0.0000 0.0000 0.0000
H 0.4281 0.1974 0.1974
H 0.5719 0.8026 0.8026
F 0.8102 0.2640 0.7028
F 0.1898 0.2972 0.7360
F 0.6761 0.1828 0.1828
F 0.3239 0.8172 0.8172
F 0.8102 0.7028 0.2640
F 0.1898 0.7360 0.2972
F 0.2064 0.1993 0.1993
F 0.7936 0.8007 0.8007

Values from the calculation:
Crystal system = monoclinic
Excess energy over the best structure of this formula in the dataset = 0.00 eV per formula unit


8.
Here is a geometry-optimized HfH2F6 structure from the Alexandria database. Energies are from PBE.

abc: 4.8227 4.8227 5.9269
angles: 65.99 65.99 60.00
Positions (direct):
Hf 0.3326 0.3326 0.0021
H 0.7467 0.7467 0.7599
H 0.5870 0.5870 0.2391
F 0.7010 0.4844 0.7699
F 0.0447 0.7010 0.7699
F 0.4844 0.0447 0.7699
F 0.3288 0.5506 0.2307
F 0.8899 0.3288 0.2307
F 0.5506 0.8899 0.2307

Values from the calculation:
DFT total energy = -5.689 eV per atom
Crystal system = trigonal